LiCo2S4: PBEsol geometry, SCAN.

The structure in POSCAR format:
```
LiCo2S4
1.0
-2.408 -2.309 5.817
4.204 -1.568 4.983
0.264 3.833 5.496
S Li Co
8 2 4
Cartesian
0.921 1.651 8.767
-0.061 0.644 11.826
0.806 -0.017 6.375
2.818 0.967 11.463
2.636 -0.700 8.544
1.770 -0.038 13.995
-0.242 -1.022 8.907
1.655 -1.707 11.603
0.000 0.000 0.000
0.515 -0.011 4.074
2.492 1.127 7.276
1.156 -1.944 7.437
1.288 -0.028 10.185
-0.814 0.756 7.693
```

* E_form (uncorrected): -0.67 eV per atom
* total DFT energy (no corrections): -11.455 eV/atom
* density of states at the Fermi level: 4.386 states/eV/f.u.
* calculated density: 3.9 g/cm³

Ir5Pt4: PBEsol geometry, SCAN.

The structure in POSCAR format:
```
Ir5Pt4
1.0
3.866 0.000 0.000
1.933 5.805 0.000
1.933 0.000 5.805
Ir Pt
5 4
Cartesian
1.933 1.898 0.000
0.000 0.000 0.000
3.866 3.907 0.000
3.866 0.000 3.907
1.933 0.000 1.898
3.866 1.905 1.905
1.933 1.905 3.900
1.933 3.900 1.905
3.866 3.900 3.900
```

* ΔE_f: 101 meV per atom
* total DFT energy (no corrections): -70.596 eV/atom
* density of states at the Fermi level: 10.211 states/eV/f.u.
* calculated density: 22.2 g/cm³

CrIrO4: PBEsol geometry, SCAN.

The structure in POSCAR format:
```
CrIrO4
1.0
3.039 0.000 0.000
0.000 4.441 0.034
0.000 -0.045 4.441
O Ir Cr
4 1 1
Cartesian
1.519 3.096 1.355
0.000 3.566 3.630
0.000 0.830 0.845
1.519 1.299 3.120
0.000 2.198 2.237
1.519 0.000 0.000
```

* E_form (uncorrected): -1.62 eV per atom
* total DFT energy (no corrections): -20.685 eV/atom
* density of states at the Fermi level: 1.746 states/eV/f.u.
* calculated density: 8.5 g/cm³

MnB2H17N3: PBEsol geometry, SCAN.

The structure in POSCAR format:
```
MnB2H17N3
1.0
-1.377 6.986 3.598
3.647 -3.167 7.544
10.165 3.729 -3.349
H B N Mn
68 8 12 4
Cartesian
2.874 7.842 2.919
2.515 -0.371 3.043
5.599 1.366 3.912
8.724 8.399 0.299
7.715 4.216 8.035
10.730 3.728 -0.985
11.379 6.324 7.132
1.056 1.225 0.661
5.220 1.422 5.891
5.308 3.649 1.647
10.397 5.501 3.505
3.463 4.858 1.382
5.568 -0.341 4.982
10.593 2.461 6.541
7.215 6.126 1.903
8.638 5.188 6.499
2.023 4.357 3.350
9.084 8.728 3.575
1.249 3.552 6.848
3.352 -1.180 4.219
6.773 5.698 7.073
1.399 7.333 2.409
8.300 7.618 4.496
6.868 7.889 2.811
10.413 3.191 4.444
0.429 5.468 2.815
9.561 -0.294 4.875
2.763 1.803 5.756
6.394 2.539 -1.122
1.705 3.821 8.779
10.760 1.428 3.535
7.650 2.007 3.453
6.836 6.182 3.881
5.359 6.577 2.549
4.720 3.333 -0.241
11.036 0.215 5.384
8.743 5.372 3.339
5.662 1.850 0.720
5.203 4.239 5.241
9.920 7.919 4.750
4.924 5.651 5.968
7.128 3.899 6.147
7.511 1.898 1.826
3.199 3.634 7.436
3.711 -0.851 7.494
0.468 4.545 4.621
0.778 2.636 1.389
2.060 2.022 7.852
5.917 4.957 0.124
1.675 6.120 4.258
7.233 3.309 2.553
9.672 5.745 2.038
8.973 2.690 6.412
6.518 2.591 7.670
12.007 2.081 4.978
9.236 3.915 0.357
6.041 5.009 8.915
11.967 3.003 3.172
11.186 3.996 0.946
7.077 0.971 5.244
1.842 5.087 1.252
3.692 2.176 4.454
4.786 5.541 4.340
2.039 2.047 4.289
11.658 4.912 6.405
4.135 -0.070 3.297
3.797 2.360 1.294
10.375 5.526 -0.059
10.374 4.300 0.045
4.883 2.790 0.874
6.577 6.689 2.798
11.291 2.420 4.046
1.144 5.128 3.748
2.061 3.248 7.749
5.858 0.860 4.995
7.553 4.758 6.919
6.093 5.795 -0.451
9.014 8.359 4.532
9.643 5.164 2.886
4.563 5.045 5.217
7.873 2.503 2.576
2.792 2.384 4.907
5.712 4.948 9.890
6.342 1.753 8.245
4.605 -0.937 8.004
3.422 -0.811 3.262
7.831 8.486 -0.211
6.723 2.600 -2.097
6.373 -0.095 7.046
9.955 3.073 2.265
2.481 4.475 5.528
6.062 7.643 0.748
```

* total DFT energy (no corrections): -5.498 eV/atom
* density of states at the Fermi level: 0.000 states/eV/f.u.
* calculated density: 1.1 g/cm³

> What is the formula in the third record?

CrIrO4

> The highest total DFT energy (no corrections) belongs to which entry?

MnB2H17N3